No. 1
BaYSi2Ag: optimized geometry, PBE-GGA.

Cell: 5.3661 5.3661 6.3490 Å, 90.00 90.00 90.00°
Element x y z (fractional)
Ba 0.0000 0.0000 0.0000
Y 0.0000 0.0000 0.5000
Si 0.0000 0.5000 0.5000
Si 0.5000 0.0000 0.5000
Ag 0.5000 0.5000 0.0000

Output
density = 3.5 g/cm³
calculated volume = 36.56 Å³/atom
crystal system = tetragonal
total energy = -3.57 eV/atom

---

No. 2
InPbN2O: optimized geometry, PBE-GGA.

Cell: 4.6696 4.6696 4.3465 Å, 90.00 90.00 90.00°
Element x y z (fractional)
In 0.0000 0.0000 0.0000
Pb 0.5000 0.5000 0.5000
N 0.0000 0.5000 0.5000
N 0.5000 0.0000 0.5000
O 0.5000 0.5000 0.0000

Output
density = 6.4 g/cm³
calculated volume = 18.96 Å³/atom
crystal system = tetragonal
total energy = -4.40 eV/atom

---

No. 3
Dy4ZnHg: optimized geometry, PBE-GGA.

Cell: 3.5805 3.5805 12.5709 Å, 90.00 90.00 90.00°
Element x y z (fractional)
Dy 0.0000 0.0000 0.1406
Dy 0.0000 0.0000 0.8594
Dy 0.5000 0.5000 0.3399
Dy 0.5000 0.5000 0.6601
Zn 0.5000 0.5000 0.0000
Hg 0.0000 0.0000 0.5000

Output
density = 9.4 g/cm³
calculated volume = 26.86 Å³/atom
crystal system = tetragonal
formation enthalpy at 0 K = -24.5 kJ per mole of atoms
total energy = -3.58 eV/atom

---

No. 4
Bi3IrSe: optimized geometry, PBE-GGA.

Cell: 5.3915 5.3915 5.3915 Å, 90.00 90.00 90.00°
Element x y z (fractional)
Bi 0.0000 0.0000 0.5000
Bi 0.0000 0.5000 0.0000
Bi 0.5000 0.0000 0.0000
Ir 0.5000 0.5000 0.5000
Se 0.0000 0.0000 0.0000

Output
density = 9.5 g/cm³
calculated volume = 31.34 Å³/atom
crystal system = cubic
total energy = -3.56 eV/atom

---

- Among the records above, which one has the highest total energy?
  Bi3IrSe

---

- Look up the density of the second one.
  6.4 g/cm³

---

Repeat the first record exactly.
BaYSi2Ag: optimized geometry, PBE-GGA.

Cell: 5.3661 5.3661 6.3490 Å, 90.00 90.00 90.00°
Element x y z (fractional)
Ba 0.0000 0.0000 0.0000
Y 0.0000 0.0000 0.5000
Si 0.0000 0.5000 0.5000
Si 0.5000 0.0000 0.5000
Ag 0.5000 0.5000 0.0000

Output
density = 3.5 g/cm³
calculated volume = 36.56 Å³/atom
crystal system = tetragonal
total energy = -3.57 eV/atom